## KPaCu2I8 (PBE)

Data for a relaxed structure of KPaCu2I8.

Geometry as POSCAR:
```
KPaCu2I8
1.0
-0.187 2.420 6.904
-0.028 -5.689 4.603
10.465 -0.010 0.762
K Pa Cu I
1 1 2 8
Direct
0.000 0.000 0.500 K
0.000 0.000 0.000 Pa
0.640 0.640 0.228 Cu
0.360 0.360 0.772 Cu
0.755 0.254 0.798 I
0.752 0.752 0.008 I
0.705 0.705 0.448 I
0.295 0.295 0.552 I
0.248 0.248 0.992 I
0.254 0.755 0.798 I
0.746 0.245 0.202 I
0.245 0.746 0.202 I
```

* density of states at the Fermi level: 2.211 states/eV per cell
* energy relative to the elements, uncorrected: -8.388 eV/f.u.
* total moment: 0.09 Bohr magnetons per cell
* ρ: 4.44 g cm⁻³
* E: -3.298 eV/atom
* volume: 528.5 Å³/f.u.